Record 1
A relaxed SrLaTlAg crystal, computed with PBE-GGA.

Results
E_form, eV/atom: -0.331
Density of states at the Fermi level, states/eV/atom: 1.01

Cell lengths 5.587, 5.587, 5.587 Å; angles 60.00, 60.00, 60.00 degrees
Positions (direct):
Tl1 0.500 0.500 0.500
La1 0.250 0.250 0.250
Ag1 0.000 0.000 0.000
Sr1 0.750 0.750 0.750

Record 2
A relaxed ZrCuPd crystal, computed with PBE-GGA.

Results
E_form, eV/atom: -0.489
Density of states at the Fermi level, states/eV/atom: 0.57

Cell lengths 3.446, 3.446, 4.881 Å; angles 110.68, 110.68, 90.00 degrees
Positions (direct):
Cu1 0.284 0.284 0.569
Zr1 0.616 0.616 0.233
Pd1 0.949 0.949 0.899

Record 3
A relaxed InGePt3 crystal, computed with PBE-GGA.

Results
E_form, eV/atom: -0.320
Density of states at the Fermi level, states/eV/atom: 0.32

Cell lengths 5.553, 5.554, 8.240 Å; angles 67.22, 67.21, 60.68 degrees
Positions (direct):
Pt1 0.630 0.281 0.895
Pt2 0.966 0.577 0.350
Pt3 0.452 0.089 0.352
Pt4 0.933 0.057 0.417
Pt5 0.152 0.759 0.895
Pt6 0.171 0.299 0.853
In1 0.681 0.809 0.783
In2 0.428 0.553 0.457
Ge1 0.054 0.183 0.633
Ge2 0.916 0.043 0.126

Record 4
A relaxed TbDyYEr2 crystal, computed with PBE-GGA.

Results
E_form, eV/atom: 0.398
Density of states at the Fermi level, states/eV/atom: 1.45

Cell lengths 7.176, 8.309, 7.051 Å; angles 126.10, 90.00, 90.00 degrees
Positions (direct):
Tb1 0.750 0.282 0.565
Tb2 0.250 0.718 0.435
Y1 0.250 0.270 0.541
Y2 0.750 0.730 0.459
Er1 0.500 0.310 0.000
Er2 0.000 0.690 0.000
Er3 0.500 0.690 0.000
Er4 0.000 0.310 0.000
Dy1 0.250 0.989 0.977
Dy2 0.750 0.011 0.023